Record 1
Li2HPdRh | PBE | optimized geometry

Lattice parameters (Å, degrees): 4.035 4.035 3.446 90.00 90.00 90.00
Sites, in units of the cell vectors:
Li 0.000 0.500 0.000
Li 0.500 0.000 0.000
H 0.000 0.000 0.000
Pd 0.000 0.000 0.500
Rh 0.500 0.500 0.500

Calculated values
Fermi-level density of states = 0.39 states/eV per atom
Raw total energy = -4.12 eV/atom
M_tot = 0.00 μB/cell
ΔE to the lowest computed polymorph = 122 meV per atom

---

Record 2
Sr4TlIn2 | PBE | optimized geometry

Lattice parameters (Å, degrees): 5.762 5.762 9.977 73.22 73.22 60.00
Sites, in units of the cell vectors:
Tl 0.000 0.000 0.000
Sr 0.125 0.125 0.624
Sr 0.624 0.624 0.129
Sr 0.376 0.376 0.871
Sr 0.875 0.875 0.376
In 0.749 0.749 0.754
In 0.251 0.251 0.246

Calculated values
Fermi-level density of states = 1.25 states/eV per atom
Formation energy = -0.345 eV per atom
Raw total energy = -2.43 eV/atom
M_tot = 0.00 μB/cell
ΔE to the lowest computed polymorph = 0 meV per atom

---

Record 3
NdGdCuRh | PBE | optimized geometry

Lattice parameters (Å, degrees): 4.991 4.991 4.991 60.00 60.00 60.00
Site moments in Bohr magnetons follow the coordinates.
Sites, in units of the cell vectors:
Nd 0.500 0.500 0.500  0.02
Cu 0.250 0.250 0.250  0.01
Gd 0.000 0.000 0.000  7.02
Rh 0.750 0.750 0.750  -0.04

Calculated values
Fermi-level density of states = 0.90 states/eV per atom
Formation energy = -0.458 eV per atom
Raw total energy = -8.03 eV/atom
M_tot = 7.20 μB/cell

---

Record 4
Be3HgN | PBE | optimized geometry

Lattice parameters (Å, degrees): 3.713 3.713 3.713 90.00 90.00 90.00
Sites, in units of the cell vectors:
Be 0.500 0.000 0.000
Be 0.000 0.000 0.500
Be 0.000 0.500 0.000
N 0.000 0.000 0.000
Hg 0.500 0.500 0.500

Calculated values
Fermi-level density of states = 0.24 states/eV per atom
Raw total energy = -3.84 eV/atom
M_tot = 0.00 μB/cell
Uncorrected formation energy = 0.121 eV/atom
ΔE to the lowest computed polymorph = 0 meV per atom

---

Record 5
Mg2BF | PBE | optimized geometry

Lattice parameters (Å, degrees): 3.603 5.678 5.977 94.66 93.60 107.28
Sites, in units of the cell vectors:
F 0.346 0.346 0.280
F 0.505 0.877 0.295
Mg 0.619 0.158 0.555
Mg 0.247 0.314 0.933
Mg 0.532 0.849 0.971
Mg 0.386 0.625 0.517
B 0.028 0.896 0.739
B 0.897 0.594 0.774

Calculated values
Fermi-level density of states = 0.19 states/eV per atom
Raw total energy = -4.00 eV/atom
M_tot = 0.00 μB/cell
Uncorrected formation energy = -1.069 eV/atom
ΔE to the lowest computed polymorph = 98 meV per atom

---

Record 6
KY4Tl5 | PBE | optimized geometry

Lattice parameters (Å, degrees): 3.835 3.835 19.929 90.00 90.00 90.00
Sites, in units of the cell vectors:
Tl 0.500 0.500 0.127
Tl 0.500 0.500 0.689
Tl 0.500 0.500 0.500
Tl 0.500 0.500 0.311
Tl 0.500 0.500 0.873
Y 0.000 0.000 0.214
Y 0.000 0.000 0.405
Y 0.000 0.000 0.786
Y 0.000 0.000 0.595
K 0.000 0.000 0.000

Calculated values
Fermi-level density of states = 0.58 states/eV per atom
Formation energy = -0.313 eV per atom
Raw total energy = -4.19 eV/atom
M_tot = 0.00 μB/cell

---

Record 7
Ca2PaAs3Rh4 | PBE | optimized geometry

Lattice parameters (Å, degrees): 4.185 4.185 11.217 90.00 90.00 90.00
Sites, in units of the cell vectors:
As 0.000 0.500 0.129
As 0.000 0.000 0.500
As 0.500 0.000 0.871
Pa 0.500 0.500 0.500
Ca 0.500 0.000 0.219
Ca 0.000 0.500 0.781
Rh 0.500 0.000 0.650
Rh 0.000 0.500 0.350
Rh 0.000 0.000 0.000
Rh 0.500 0.500 0.000

Calculated values
Fermi-level density of states = 0.66 states/eV per atom
Formation energy = -0.813 eV per atom
Raw total energy = -6.50 eV/atom
M_tot = 0.00 μB/cell

---

Record 8
BaMgNb3 | PBE | optimized geometry

Lattice parameters (Å, degrees): 5.094 5.094 5.094 90.00 90.00 90.00
Site moments in Bohr magnetons follow the coordinates.
Sites, in units of the cell vectors:
Ba 0.500 0.500 0.500  0.11
Nb 0.500 0.000 0.000  0.76
Nb 0.000 0.000 0.500  0.46
Nb 0.000 0.500 0.000  0.43
Mg 0.000 0.000 0.000  0.03

Calculated values
Fermi-level density of states = 1.54 states/eV per atom
Formation energy = 1.694 eV per atom
Raw total energy = -5.05 eV/atom
M_tot = 2.33 μB/cell
ΔE to the lowest computed polymorph = 0 meV per atom